The following is a PBE calculation of a geometry-optimized Na3AgSe structure, from the Alexandria database.

Calculated values
For the total energy, the calculation gives -2.18 eV/atom. As for the space group: Pm-3m, No. 221.

Cell lengths 5.3811, 5.3811, 5.3811 Å; angles 90.00, 90.00, 90.00 degrees
With the nearest neighbours (Å) after each atom.
Positions (direct):
Na1 0.0000 0.5000 0.0000  2 Ag 2.69
Na2 0.0000 0.0000 0.5000  2 Ag 2.69
Na3 0.5000 0.0000 0.0000  2 Ag 2.69
Se1 0.5000 0.5000 0.5000  12 Na 3.81
Ag1 0.0000 0.0000 0.0000  6 Na 2.69

The following is a PBE calculation of a geometry-optimized NaAgSe2 structure, from the Alexandria database.

Calculated values
For the total energy, the calculation gives -2.89 eV/atom. As for the space group: R-3m, No. 166.

Cell lengths 9.4353, 9.4353, 9.4353 Å; angles 21.13, 21.13, 21.13 degrees
With the nearest neighbours (Å) after each atom.
Positions (direct):
Na1 0.5000 0.5000 0.5000  6 Se 2.92
Se1 0.9106 0.9106 0.9106  1 Ag 2.47
Se2 0.0894 0.0894 0.0894  1 Ag 2.47
Ag1 0.0000 0.0000 0.0000  2 Se 2.47

The following is a PBE calculation of a geometry-optimized NaAgSe2 structure, from the Alexandria database.

Calculated values
For the total energy, the calculation gives -3.09 eV/atom. As for the space group: Amm2, No. 38.

Cell lengths 4.2864, 5.1739, 5.1739 Å; angles 112.38, 90.00, 90.00 degrees
With the nearest neighbours (Å) after each atom.
Positions (direct):
Na1 0.0000 0.9439 0.0561  8 Se 3.35-3.37, 4 Ag 3.59
Ag1 0.5000 0.4454 0.5546  4 Se 2.59
Se1 0.5000 0.9455 0.5548  2 Ag 2.59, 2 Se 2.88
Se2 0.5000 0.4452 0.0545  2 Ag 2.59, 2 Se 2.88

The following is a PBE calculation of a geometry-optimized Na2Ag2Se structure, from the Alexandria database.

Calculated values
For the total energy, the calculation gives -2.64 eV/atom. As for the space group: I4/mmm, No. 139.

Cell lengths 3.8199, 3.8199, 8.8837 Å; angles 77.58, 77.58, 90.00 degrees
With the nearest neighbours (Å) after each atom.
Positions (direct):
Na1 0.4131 0.4131 0.1738  1 Na 2.94, 4 Se 3.08
Na2 0.5869 0.5869 0.8262  1 Na 2.94, 4 Se 3.08
Se1 0.0000 0.0000 0.0000  8 Na 3.08
Ag1 0.7500 0.2500 0.5000  4 Ag 2.70
Ag2 0.2500 0.7500 0.5000  4 Ag 2.70

The following is a PBE calculation of a geometry-optimized Na3AgSe structure, from the Alexandria database.

Calculated values
For the total energy, the calculation gives -2.51 eV/atom. As for the space group: Pm-3m, No. 221.

Cell lengths 5.4983, 5.4983, 5.4983 Å; angles 90.00, 90.00, 90.00 degrees
With the nearest neighbours (Å) after each atom.
Positions (direct):
Na1 0.0000 0.5000 0.0000  2 Se 2.75
Na2 0.0000 0.0000 0.5000  2 Se 2.75
Na3 0.5000 0.0000 0.0000  2 Se 2.75
Se1 0.0000 0.0000 0.0000  6 Na 2.75
Ag1 0.5000 0.5000 0.5000  12 Na 3.89

The following is a PBE calculation of a geometry-optimized NaAgSe2 structure, from the Alexandria database.

Calculated values
For the total energy, the calculation gives -3.06 eV/atom. As for the space group: R3m, No. 160.

Cell lengths 4.0452, 4.0452, 7.0188 Å; angles 73.25, 73.25, 60.00 degrees
With the nearest neighbours (Å) after each atom.
Positions (direct):
Na1 0.4988 0.4988 0.5036  6 Se 2.99-3.02
Ag1 0.6673 0.6673 0.9981  6 Se 2.73-2.74
Se1 0.0718 0.0718 0.7847  3 Ag 2.73, 3 Na 2.99
Se2 0.2621 0.2621 0.2137  3 Ag 2.74, 3 Na 3.02

The following is a PBE calculation of a geometry-optimized Na2Ag2Se structure, from the Alexandria database.

Calculated values
For the total energy, the calculation gives -2.46 eV/atom. As for the space group: P4/mbm, No. 127.

Cell lengths 7.2423, 7.2423, 4.6946 Å; angles 90.00, 90.00, 90.00 degrees
With the nearest neighbours (Å) after each atom.
Positions (direct):
Na1 0.3442 0.8442 0.0000  2 Se 2.74
Na2 0.8442 0.6558 0.0000  2 Se 2.74
Na3 0.6558 0.1558 0.0000  2 Se 2.74
Na4 0.1558 0.3442 0.0000  2 Se 2.74
Se1 0.0000 0.0000 0.0000  4 Na 2.74
Se2 0.5000 0.5000 0.0000  4 Na 2.74
Ag1 0.1335 0.6335 0.5000  1 Ag 2.73
Ag2 0.6335 0.8665 0.5000  1 Ag 2.73
Ag3 0.8665 0.3665 0.5000  1 Ag 2.73
Ag4 0.3665 0.1335 0.5000  1 Ag 2.73

The following is a PBE calculation of a geometry-optimized NaAg3Se3 structure, from the Alexandria database.

Calculated values
For the total energy, the calculation gives -3.04 eV/atom. As for the space group: Pm-3n, No. 223.

Cell lengths 7.3747, 7.3747, 7.3747 Å; angles 90.00, 90.00, 90.00 degrees
With the nearest neighbours (Å) after each atom.
Positions (direct):
Na1 0.5000 0.5000 0.5000  12 Se 4.12, 12 Ag 4.12
Na2 0.0000 0.0000 0.0000  12 Se 4.12, 12 Ag 4.12
Se1 0.0000 0.2500 0.5000  4 Ag 2.61
Se2 0.0000 0.7500 0.5000  4 Ag 2.61
Se3 0.5000 0.0000 0.7500  4 Ag 2.61
Se4 0.7500 0.5000 0.0000  4 Ag 2.61
Se5 0.5000 0.0000 0.2500  4 Ag 2.61
Se6 0.2500 0.5000 0.0000  4 Ag 2.61
Ag1 0.2500 0.0000 0.5000  4 Se 2.61
Ag2 0.0000 0.5000 0.2500  4 Se 2.61
Ag3 0.5000 0.7500 0.0000  4 Se 2.61
Ag4 0.7500 0.0000 0.5000  4 Se 2.61
Ag5 0.0000 0.5000 0.7500  4 Se 2.61
Ag6 0.5000 0.2500 0.0000  4 Se 2.61

Computed energy relative to the elements, uncorrected, in the same sequence as the records: -0.6 -0.4 -1.2 -1.4 -2.2 -1.1 -0.5 -1.0 eV per formula unit.